DFT (PBE) results for a relaxed structure of AcTiP2.

Values from the calculation:
E_form = -108.07 kJ/mol of atoms
E = -27.30 eV per cell
relative energy among the computed polymorphs = 0.0000 eV/atom

Unit cell a=6.9649 b=6.9649 c=6.9649 alpha=32.71 beta=32.71 gamma=32.71
Closest atoms and distances in Å follow each position.
Positions (direct):
Ac 0.0000 0.0000 0.0000  6 P 3.03
Ti 0.5000 0.5000 0.5000  6 P 2.60
P 0.2314 0.2314 0.2314  3 Ti 2.60
P 0.7686 0.7686 0.7686  3 Ti 2.60

***

DFT (PBE) results for a relaxed structure of Ac5Ti3P12.

Values from the calculation:
E_form = -49.63 kJ/mol of atoms
E = -477.74 eV per cell

Unit cell a=14.0291 b=14.0291 c=14.0291 alpha=109.47 beta=109.47 gamma=109.47
Closest atoms and distances in Å follow each position.
Positions (direct):
Ac 0.0000 0.0000 0.0000  6 P 3.16
Ac 0.0000 0.0000 0.5000  6 P 3.16
Ac 0.0000 0.5000 0.0000  6 P 3.16
Ac 0.0000 0.5000 0.5000  6 P 3.16
Ac 0.1250 0.7500 0.8750  4 P 2.90
Ac 0.1250 0.8750 0.2500  4 P 2.90
Ac 0.2500 0.1250 0.8750  4 P 2.90
Ac 0.2500 0.6250 0.3750  4 P 2.90
Ac 0.3750 0.2500 0.6250  4 P 2.90
Ac 0.3750 0.6250 0.7500  4 P 2.90
Ac 0.5000 0.0000 0.0000  6 P 3.16
Ac 0.5000 0.0000 0.5000  6 P 3.16
Ac 0.5000 0.5000 0.0000  6 P 3.16
Ac 0.5000 0.5000 0.5000  6 P 3.16
Ac 0.6250 0.3750 0.2500  4 P 2.90
Ac 0.6250 0.7500 0.3750  4 P 2.90
Ac 0.7500 0.3750 0.6250  4 P 2.90
Ac 0.7500 0.8750 0.1250  4 P 2.90
Ac 0.8750 0.1250 0.7500  4 P 2.90
Ac 0.8750 0.2500 0.1250  4 P 2.90
Ti 0.1250 0.2500 0.3750  4 P 2.45
Ti 0.1250 0.3750 0.7500  4 P 2.45
Ti 0.2500 0.3750 0.1250  4 P 2.45
Ti 0.2500 0.8750 0.6250  4 P 2.45
Ti 0.3750 0.1250 0.2500  4 P 2.45
Ti 0.3750 0.7500 0.1250  4 P 2.45
Ti 0.6250 0.2500 0.8750  4 P 2.45
Ti 0.6250 0.8750 0.7500  4 P 2.45
Ti 0.7500 0.1250 0.3750  4 P 2.45
Ti 0.7500 0.6250 0.8750  4 P 2.45
Ti 0.8750 0.6250 0.2500  4 P 2.45
Ti 0.8750 0.7500 0.6250  4 P 2.45
P 0.0601 0.6569 0.3881  1 P 2.23, 1 Ti 2.45
P 0.0601 0.9031 0.6719  1 P 2.23, 1 Ti 2.45
P 0.0969 0.2688 0.1569  1 P 2.23, 1 Ti 2.45
P 0.0969 0.3281 0.9399  1 P 2.23, 1 Ti 2.45
P 0.1119 0.7688 0.6719  1 P 2.23, 1 Ti 2.45
P 0.1119 0.8431 0.4399  1 P 2.23, 1 Ti 2.45
P 0.1569 0.0969 0.2688  1 P 2.23, 1 Ti 2.45
P 0.1569 0.5601 0.8881  1 P 2.23, 1 Ti 2.45
P 0.1719 0.2688 0.6119  1 P 2.23, 1 Ti 2.45
P 0.1719 0.4031 0.5601  1 P 2.23, 1 Ti 2.45
P 0.2312 0.3281 0.8881  1 P 2.23, 1 Ti 2.45
P 0.2312 0.4031 0.3431  1 P 2.23, 1 Ti 2.45
P 0.2688 0.1569 0.0969  1 P 2.23, 1 Ti 2.45
P 0.2688 0.6119 0.1719  1 P 2.23, 1 Ti 2.45
P 0.3281 0.8881 0.2312  1 P 2.23, 1 Ti 2.45
P 0.3281 0.9399 0.0969  1 P 2.23, 1 Ti 2.45
P 0.3431 0.2312 0.4031  1 P 2.23, 1 Ti 2.45
P 0.3431 0.6119 0.9399  1 P 2.23, 1 Ti 2.45
P 0.3881 0.0601 0.6569  1 P 2.23, 1 Ti 2.45
P 0.3881 0.8281 0.7312  1 P 2.23, 1 Ti 2.45
P 0.4031 0.3431 0.2312  1 P 2.23, 1 Ti 2.45
P 0.4031 0.5601 0.1719  1 P 2.23, 1 Ti 2.45
P 0.4399 0.1119 0.8431  1 P 2.23, 1 Ti 2.45
P 0.4399 0.8281 0.5969  1 P 2.23, 1 Ti 2.45
P 0.5601 0.1719 0.4031  1 P 2.23, 1 Ti 2.45
P 0.5601 0.8881 0.1569  1 P 2.23, 1 Ti 2.45
P 0.5969 0.4399 0.8281  1 P 2.23, 1 Ti 2.45
P 0.5969 0.6569 0.7688  1 P 2.23, 1 Ti 2.45
P 0.6119 0.1719 0.2688  1 P 2.23, 1 Ti 2.45
P 0.6119 0.9399 0.3431  1 P 2.23, 1 Ti 2.45
P 0.6569 0.3881 0.0601  1 P 2.23, 1 Ti 2.45
P 0.6569 0.7688 0.5969  1 P 2.23, 1 Ti 2.45
P 0.6719 0.0601 0.9031  1 P 2.23, 1 Ti 2.45
P 0.6719 0.1119 0.7688  1 P 2.23, 1 Ti 2.45
P 0.7312 0.3881 0.8281  1 P 2.23, 1 Ti 2.45
P 0.7312 0.8431 0.9031  1 P 2.23, 1 Ti 2.45
P 0.7688 0.5969 0.6569  1 P 2.23, 1 Ti 2.45
P 0.7688 0.6719 0.1119  1 P 2.23, 1 Ti 2.45
P 0.8281 0.5969 0.4399  1 P 2.23, 1 Ti 2.45
P 0.8281 0.7312 0.3881  1 P 2.23, 1 Ti 2.45
P 0.8431 0.4399 0.1119  1 P 2.23, 1 Ti 2.45
P 0.8431 0.9031 0.7312  1 P 2.23, 1 Ti 2.45
P 0.8881 0.1569 0.5601  1 P 2.23, 1 Ti 2.45
P 0.8881 0.2312 0.3281  1 P 2.23, 1 Ti 2.45
P 0.9031 0.6719 0.0601  1 P 2.23, 1 Ti 2.45
P 0.9031 0.7312 0.8431  1 P 2.23, 1 Ti 2.45
P 0.9399 0.0969 0.3281  1 P 2.23, 1 Ti 2.45
P 0.9399 0.3431 0.6119  1 P 2.23, 1 Ti 2.45

***

DFT (PBE) results for a relaxed structure of AcTiP3.

Values from the calculation:
E_form = -76.08 kJ/mol of atoms
E = -32.18 eV per cell

Unit cell a=4.7705 b=4.7705 c=4.7705 alpha=90.00 beta=90.00 gamma=90.00
Closest atoms and distances in Å follow each position.
Positions (direct):
Ac 0.0000 0.0000 0.0000  12 P 3.37
Ti 0.5000 0.5000 0.5000  6 P 2.39
P 0.0000 0.5000 0.5000  2 Ti 2.39
P 0.5000 0.0000 0.5000  2 Ti 2.39
P 0.5000 0.5000 0.0000  2 Ti 2.39

***

DFT (PBE) results for a relaxed structure of Ac3Tl2P.

Values from the calculation:
E_form = -61.69 kJ/mol of atoms
E = -26.30 eV per cell

Unit cell a=9.1922 b=9.1922 c=4.1419 alpha=90.00 beta=90.00 gamma=142.89
Closest atoms and distances in Å follow each position.
Positions (direct):
Ac 0.0000 0.0000 0.0000  2 P 2.92
Ac 0.3710 0.6290 0.5000  2 P 3.06
Ac 0.6290 0.3710 0.5000  2 P 3.06
Tl 0.1940 0.8060 0.0000  7 Ac 3.38-3.76, 2 Tl 3.52
Tl 0.8060 0.1940 0.0000  7 Ac 3.38-3.76, 2 Tl 3.52
P 0.5000 0.5000 0.0000  6 Ac 2.92-3.06

***

DFT (PBE) results for a relaxed structure of AcTl2P.

Values from the calculation:
E_form = -39.81 kJ/mol of atoms
E = -15.90 eV per cell

Unit cell a=4.5056 b=4.5056 c=5.6241 alpha=90.00 beta=90.00 gamma=90.00
Closest atoms and distances in Å follow each position.
Positions (direct):
Ac 0.0000 0.0000 0.0000  4 P 3.19
Tl 0.0000 0.5000 0.5000  4 Tl 3.19
Tl 0.5000 0.0000 0.5000  4 Tl 3.19
P 0.5000 0.5000 0.0000  4 Ac 3.19

***

DFT (PBE) results for a relaxed structure of AcTlP.

Values from the calculation:
E_form = -46.64 kJ/mol of atoms
E = -13.33 eV per cell
relative energy among the computed polymorphs = 0.0613 eV/atom

Unit cell a=4.6434 b=4.6434 c=4.9654 alpha=90.00 beta=90.00 gamma=120.00
Closest atoms and distances in Å follow each position.
Positions (direct):
Ac 0.0000 0.0000 0.0000  3 P 3.03
Tl 0.3333 0.6667 0.5307  3 P 2.95
P 0.6667 0.3333 0.2842  3 Tl 2.95, 3 Ac 3.03